Record 1
NdEr5Th2, relaxed, DFT PBE; polymorph energy (0 for the lowest one) = 0 meV/atom; theoretical density = 9.48 g/cm³; V = 253 Å³ per cell; M_tot = 0.0 μB per formula unit
1.0
-1.398 -0.658 3.226
-4.658 -7.939 -3.637
9.375 0.567 0.222
Nd Er Th
1 5 2
direct
0.000 0.000 0.000 Nd
0.000 0.500 0.000 Er
0.755 0.380 0.255 Er
0.245 0.620 0.745 Er
0.755 0.875 0.255 Er
0.245 0.125 0.745 Er
0.499 0.749 0.499 Th
0.501 0.251 0.501 Th

***

Record 2
Nd5Er4Th, relaxed, DFT PBE; polymorph energy (0 for the lowest one) = 105 meV/atom; theoretical density = 7.85 g/cm³; V = 343 Å³ per cell; M_tot = 0.0 μB per formula unit
1.0
3.576 0.000 0.000
0.000 10.480 1.540
-1.788 -0.255 9.119
Nd Er Th
5 4 1
direct
0.810 0.598 0.621 Nd
0.861 0.220 0.722 Nd
0.139 0.780 0.278 Nd
0.500 0.500 0.000 Nd
0.190 0.402 0.379 Nd
0.319 0.916 0.639 Er
0.953 0.762 0.905 Er
0.681 0.084 0.361 Er
0.047 0.238 0.095 Er
0.500 0.000 0.000 Th

***

Record 3
Nd6Er4Th, relaxed, DFT PBE; theoretical density = 7.95 g/cm³; V = 738 Å³ per cell; M_tot = 0.0 μB per formula unit; raw total energy = -4.79 eV per atom
1.0
5.869 0.000 0.000
-2.935 4.855 0.000
0.000 0.000 25.909
Nd Er Th
12 8 2
direct
0.500 0.000 0.000 Nd
0.500 0.000 0.500 Nd
0.120 0.240 0.319 Nd
0.880 0.760 0.681 Nd
0.880 0.760 0.819 Nd
0.120 0.240 0.181 Nd
0.799 0.598 0.401 Nd
0.201 0.402 0.599 Nd
0.201 0.402 0.901 Nd
0.799 0.598 0.099 Nd
0.447 0.893 0.250 Nd
0.553 0.107 0.750 Nd
0.849 0.697 0.543 Er
0.455 0.909 0.124 Er
0.151 0.303 0.457 Er
0.545 0.091 0.876 Er
0.849 0.697 0.957 Er
0.151 0.303 0.043 Er
0.545 0.091 0.624 Er
0.455 0.909 0.376 Er
0.788 0.576 0.250 Th
0.212 0.424 0.750 Th